1.
A plane-wave DFT calculation with PBE-GGA was carried out for a geometry-optimized YTeMo2 structure.

Properties
DOS at the Fermi energy = 3.140 states/eV/cell
Formation energy from raw total energies = 0.00 eV per atom
Uncorrected energy = -7.8133 eV/atom
M_tot = 0.00 μB per atom
Density = 7.498 Mg/m³

abc: 4.409 4.409 5.945
angles: 68.20 68.20 60.05
Sites, in units of the cell vectors:
Mo 0.042 0.042 0.875
Mo 0.733 0.733 0.800
Te 0.470 0.470 0.590
Y 0.255 0.255 0.235

2.
A plane-wave DFT calculation with PBE-GGA was carried out for a geometry-optimized PmDy3 structure.

Properties
DOS at the Fermi energy = 5.783 states/eV/cell
Formation enthalpy at 0 K = 0.019 eV/atom
Uncorrected energy = -4.6197 eV/atom
M_tot = 0.00 μB per atom
Density = 8.180 Mg/m³

abc: 5.045 5.045 5.045
angles: 90.00 90.00 90.00
Sites, in units of the cell vectors:
Pm 0.000 0.000 0.000
Dy 0.500 0.500 0.000
Dy 0.500 0.000 0.500
Dy 0.000 0.500 0.500